No. 1
The following is a DFT calculation (PBEsol) of a relaxed TlAsBr2 crystal. Values from VASP.

Cell and atoms, written as Quantum ESPRESSO input:
```
&SYSTEM
  ibrav = 0, nat = 4, ntyp = 3
/
ATOMIC_SPECIES
Br 79.90 Br.upf
Tl 204.38 Tl.upf
As 74.92 As.upf
ATOMIC_POSITIONS crystal
Br 0.0000 0.0000 0.2115
Br 0.0000 0.0000 0.7885
Tl 0.5000 0.0000 0.5000
As 0.5000 0.0000 0.0000
CELL_PARAMETERS angstrom
3.5756 0.0000 0.0000
-1.7878 3.1616 0.0000
0.0000 0.0000 9.4416
```

Properties
ΔE_f (raw): -0.066 eV/atom
Total moment: 0.0 μB/f.u.
Crystal system: orthorhombic


No. 2
The following is a DFT calculation (PBEsol) of a relaxed B36O5 crystal. Values from VASP.

Cell and atoms, written as Quantum ESPRESSO input:
```
&SYSTEM
  ibrav = 0, nat = 82, ntyp = 2
/
ATOMIC_SPECIES
O 16.00 O.upf
B 10.81 B.upf
ATOMIC_POSITIONS crystal
O 0.3807 0.2462 0.7465
O 0.6220 0.4194 0.9206
O 0.6186 0.0871 0.5857
O 0.1198 0.9179 0.9208
O 0.1233 0.5852 0.5858
O 0.6193 0.7538 0.2535
O 0.8767 0.4148 0.4142
O 0.3814 0.9129 0.4143
O 0.3780 0.5806 0.0794
O 0.8802 0.0821 0.0792
B 0.8322 0.6669 0.0015
B 0.6636 0.3884 0.2208
B 0.9299 0.6407 0.8583
B 0.4348 0.1113 0.3722
B 0.3356 0.8323 0.6686
B 0.6755 0.5021 0.6677
B 0.5013 0.8881 0.8894
B 0.3364 0.6116 0.7792
B 0.0620 0.3861 0.6260
B 0.4431 0.4442 0.7081
B 0.0023 0.9528 0.4418
B 0.9368 0.2922 0.5331
B 0.9406 0.2786 0.0411
B 0.1670 0.6696 0.3314
B 0.5569 0.5558 0.2919
B 0.9994 0.3919 0.8857
B 0.0701 0.3593 0.1417
B 0.5671 0.5399 0.8021
B 0.2979 0.9587 0.9588
B 0.3242 0.2759 0.4427
B 0.4960 0.2211 0.2200
B 0.2819 0.2852 0.2853
B 0.5572 0.2048 0.4669
B 0.8347 0.4422 0.1144
B 0.0006 0.6081 0.1143
B 0.1649 0.2148 0.5564
B 0.5652 0.8887 0.6278
B 0.1640 0.9906 0.6685
B 0.6674 0.8323 0.0007
B 0.3245 0.4979 0.3323
B 0.8306 0.1063 0.7798
B 0.2016 0.2035 0.7082
B 0.9275 0.9252 0.7145
B 0.4390 0.1283 0.8652
B 0.4381 0.7775 0.0412
B 0.9986 0.2744 0.7792
B 0.0725 0.0748 0.2855
B 0.4987 0.1119 0.1106
B 0.6644 0.1677 0.3314
B 0.4329 0.4601 0.1979
B 0.7181 0.7148 0.7147
B 0.0594 0.7214 0.9589
B 0.3020 0.6248 0.6262
B 0.4428 0.7952 0.5331
B 0.5040 0.7789 0.7800
B 0.7021 0.0413 0.0412
B 0.7984 0.7965 0.2918
B 0.5064 0.5554 0.5554
B 0.6672 0.0539 0.8894
B 0.6758 0.7241 0.5573
B 0.8360 0.0094 0.3315
B 0.0632 0.7078 0.4669
B 0.9413 0.9678 0.1977
B 0.0587 0.0322 0.8023
B 0.5610 0.8717 0.1348
B 0.3326 0.1677 0.9993
B 0.8351 0.7852 0.4436
B 0.7961 0.1215 0.6274
B 0.8330 0.3304 0.6686
B 0.2039 0.8785 0.3726
B 0.7992 0.4609 0.9590
B 0.1694 0.8937 0.2202
B 0.3328 0.9461 0.1106
B 0.2008 0.5391 0.0410
B 0.1678 0.3331 0.9985
B 0.0014 0.7256 0.2208
B 0.9380 0.6139 0.3740
B 0.9977 0.0472 0.5582
B 0.1653 0.5578 0.8856
B 0.4936 0.4446 0.4446
B 0.6980 0.3752 0.3738
B 0.5619 0.2225 0.9588
CELL_PARAMETERS angstrom
-4.7673 -0.9138 5.5520
-5.5018 -1.6077 -4.6427
-0.0295 -11.4777 -1.2105
```

Properties
ΔE_f (raw): -0.614 eV/atom
Total moment: 0.0 μB/f.u.
Crystal system: triclinic


No. 3
The following is a DFT calculation (PBEsol) of a relaxed Ba8Al10B12O41 crystal. Values from VASP.

Cell and atoms, written as Quantum ESPRESSO input:
```
&SYSTEM
  ibrav = 0, nat = 71, ntyp = 4
/
ATOMIC_SPECIES
O 16.00 O.upf
B 10.81 B.upf
Al 26.98 Al.upf
Ba 137.33 Ba.upf
ATOMIC_POSITIONS crystal
O 0.9216 0.0844 0.6204
O 0.5367 0.0625 0.3595
O 0.8974 0.5440 0.1687
O 0.2954 0.6536 0.6685
O 0.7416 0.6143 0.0196
O 0.7748 0.8157 0.6315
O 0.7046 0.3464 0.3315
O 0.2242 0.6828 0.3744
O 0.0169 0.2497 0.2704
O 0.9955 0.7462 0.3021
O 0.5603 0.6349 0.6644
O 0.1173 0.9455 0.8317
O 0.9831 0.7503 0.7296
O 0.5625 0.7864 0.8658
O 0.8827 0.0545 0.1683
O 0.8638 0.2992 0.0737
O 0.9034 0.1352 0.9383
O 0.0966 0.8648 0.0617
O 0.1362 0.7008 0.9263
O 0.4633 0.9375 0.6405
O 0.2854 0.1444 0.6795
O 0.4455 0.8653 0.3359
O 0.5388 0.5626 0.3537
O 0.1026 0.4560 0.8313
O 0.5757 0.2674 0.8642
O 0.5545 0.1347 0.6641
O 0.4375 0.2136 0.1342
O 0.4243 0.7326 0.1358
O 0.8247 0.7911 0.0866
O 0.7146 0.8556 0.3205
O 0.9364 0.5907 0.6168
O 0.5000 0.5000 0.0000
O 0.7758 0.3172 0.6256
O 0.4397 0.3651 0.3356
O 0.4612 0.4374 0.6463
O 0.0636 0.4093 0.3832
O 0.2252 0.1843 0.3685
O 0.0045 0.2538 0.6979
O 0.0784 0.9156 0.3796
O 0.2584 0.3857 0.9804
O 0.1753 0.2089 0.9134
B 0.1793 0.3489 0.9087
B 0.4312 0.0741 0.6650
B 0.8834 0.1590 0.0599
B 0.4392 0.5758 0.6620
B 0.5608 0.4242 0.3380
B 0.0964 0.7833 0.3562
B 0.8207 0.6511 0.0913
B 0.9036 0.2167 0.6438
B 0.5688 0.9259 0.3350
B 0.1166 0.8410 0.9401
B 0.0990 0.2837 0.3450
B 0.9010 0.7163 0.6550
Al 0.5805 0.7922 0.7054
Al 0.4195 0.2078 0.2946
Al 0.8981 0.8658 0.1862
Al 0.1293 0.6364 0.7952
Al 0.8707 0.3636 0.2048
Al 0.5839 0.2888 0.7023
Al 0.4510 0.3395 0.9925
Al 0.5490 0.6605 0.0075
Al 0.4161 0.7112 0.2977
Al 0.1019 0.1342 0.8138
Ba 0.1972 0.5747 0.1525
Ba 0.8028 0.4253 0.8475
Ba 0.2093 0.4281 0.5545
Ba 0.7907 0.5719 0.4455
Ba 0.7775 0.9486 0.8542
Ba 0.2225 0.0514 0.1458
Ba 0.7904 0.0569 0.4411
Ba 0.2096 0.9431 0.5589
CELL_PARAMETERS angstrom
-1.3648 8.1415 4.2041
-1.3063 -2.7340 9.3490
9.5616 2.6861 4.9176
```

Properties
ΔE_f (raw): -2.848 eV/atom
Total moment: 0.0 μB/f.u.
Crystal system: triclinic


No. 4
The following is a DFT calculation (PBEsol) of a relaxed Ag2HgMo crystal. Values from VASP.

Cell and atoms, written as Quantum ESPRESSO input:
```
&SYSTEM
  ibrav = 0, nat = 4, ntyp = 3
/
ATOMIC_SPECIES
Ag 107.87 Ag.upf
Hg 200.59 Hg.upf
Mo 95.94 Mo.upf
ATOMIC_POSITIONS crystal
Ag 0.0000 0.0000 0.0000
Ag 0.5000 0.5000 0.0000
Hg 0.5000 0.0000 0.5000
Mo 0.0000 0.5000 0.5000
CELL_PARAMETERS angstrom
-0.9808 -2.6058 -0.2696
2.7824 -1.4456 3.8492
-3.7356 1.0846 3.1077
```

Properties
Uncorrected energy: -4.250 eV per atom
Total moment: 0.7 μB/f.u.
Crystal system: orthorhombic


No. 5
The following is a DFT calculation (PBEsol) of a relaxed BeCu2 crystal. Values from VASP.

Cell and atoms, written as Quantum ESPRESSO input:
```
&SYSTEM
  ibrav = 0, nat = 12, ntyp = 2
/
ATOMIC_SPECIES
Cu 63.55 Cu.upf
Be 9.01 Be.upf
ATOMIC_POSITIONS crystal
Cu 0.2500 0.6722 0.9355
Cu 0.2500 0.0476 0.2194
Cu 0.7500 0.4524 0.7194
Cu 0.7500 0.3278 0.0645
Cu 0.2500 0.1722 0.5645
Cu 0.7500 0.9524 0.7806
Cu 0.7500 0.8278 0.4355
Cu 0.2500 0.5476 0.2806
Be 0.7500 0.3176 0.3957
Be 0.2500 0.6824 0.6043
Be 0.2500 0.1824 0.8957
Be 0.7500 0.8176 0.1043
CELL_PARAMETERS angstrom
3.6890 0.0000 0.0000
0.0000 4.7332 0.0000
0.0000 0.0000 6.9309
```

Properties
Uncorrected energy: -4.288 eV per atom
Total moment: 0.0 μB/f.u.
Crystal system: orthorhombic


No. 6
The following is a DFT calculation (PBEsol) of a relaxed KSbBr2 crystal. Values from VASP.

Cell and atoms, written as Quantum ESPRESSO input:
```
&SYSTEM
  ibrav = 0, nat = 4, ntyp = 3
/
ATOMIC_SPECIES
Br 79.90 Br.upf
K 39.10 K.upf
Sb 121.76 Sb.upf
ATOMIC_POSITIONS crystal
Br 0.0413 0.0000 0.2525
Br 0.9587 0.0000 0.7475
K 0.5000 0.5000 0.0000
Sb 0.0000 0.5000 0.5000
CELL_PARAMETERS angstrom
-1.0192 1.4257 -3.2671
-4.3709 0.2719 1.4822
1.4015 6.4119 2.9565
```

Properties
ΔE_f (raw): -0.717 eV/atom
Total moment: 0.0 μB/f.u.
Crystal system: monoclinic


No. 7
The following is a DFT calculation (PBEsol) of a relaxed YAl3Br crystal. Values from VASP.

Cell and atoms, written as Quantum ESPRESSO input:
```
&SYSTEM
  ibrav = 0, nat = 5, ntyp = 3
/
ATOMIC_SPECIES
Y 88.91 Y.upf
Al 26.98 Al.upf
Br 79.90 Br.upf
ATOMIC_POSITIONS crystal
Y 0.5000 0.5000 0.5000
Al 0.5000 0.0000 0.0000
Al 0.0000 0.5000 0.0000
Al 0.0000 0.0000 0.5000
Br 0.0000 0.0000 0.0000
CELL_PARAMETERS angstrom
-1.8124 -4.5577 1.0476
3.0388 -0.2937 3.9792
-3.5547 2.0727 2.8676
```

Properties
ΔE_f (raw): 0.479 eV/atom
Total moment: 0.0 μB/f.u.
Crystal system: cubic


No. 8
The following is a DFT calculation (PBEsol) of a relaxed BaLa2O4 crystal. Values from VASP.

Cell and atoms, written as Quantum ESPRESSO input:
```
&SYSTEM
  ibrav = 0, nat = 14, ntyp = 3
/
ATOMIC_SPECIES
O 16.00 O.upf
Ba 137.33 Ba.upf
La 138.91 La.upf
ATOMIC_POSITIONS crystal
O 0.0000 0.0000 0.0000
O 0.7375 0.4750 0.3950
O 0.7375 0.4750 0.1050
O 0.2625 0.5250 0.8950
O 0.0000 0.0000 0.5000
O 0.4569 0.9139 0.2500
O 0.5431 0.0861 0.7500
O 0.2625 0.5250 0.6050
Ba 0.1134 0.2268 0.2500
Ba 0.8866 0.7732 0.7500
La 0.6326 0.2652 0.5724
La 0.3674 0.7348 0.4276
La 0.6326 0.2652 0.9276
La 0.3674 0.7348 0.0724
CELL_PARAMETERS angstrom
-2.2193 -0.7716 2.7389
-1.7687 -3.5574 -4.8127
7.2882 -8.4084 3.5367
```

Properties
ΔE_f (raw): -3.151 eV/atom
Total moment: 0.0 μB/f.u.
Crystal system: orthorhombic


No. 9
The following is a DFT calculation (PBEsol) of a relaxed LaYNi10 crystal. Values from VASP.

Cell and atoms, written as Quantum ESPRESSO input:
```
&SYSTEM
  ibrav = 0, nat = 12, ntyp = 3
/
ATOMIC_SPECIES
Ni 58.69 Ni.upf
La 138.91 La.upf
Y 88.91 Y.upf
ATOMIC_POSITIONS crystal
Ni 0.0000 0.0000 0.1702
Ni 0.0000 0.0000 0.8298
Ni 0.5000 0.7530 0.2554
Ni 0.0000 0.5000 0.3363
Ni 0.5000 0.2470 0.2554
Ni 0.0000 0.5000 0.6637
Ni 0.5000 0.0000 0.0000
Ni 0.5000 0.5000 0.5000
Ni 0.5000 0.7530 0.7446
Ni 0.5000 0.2470 0.7446
La 0.0000 0.5000 0.0000
Y 0.0000 0.0000 0.5000
CELL_PARAMETERS angstrom
-2.2884 1.5802 2.7468
2.6637 -2.1351 3.4474
5.0182 6.7452 0.3003
```

Properties
Uncorrected energy: -6.440 eV per atom
Total moment: 2.6 μB/f.u.
Crystal system: orthorhombic


No. 10
The following is a DFT calculation (PBEsol) of a relaxed MgZn3 crystal. Values from VASP.

Cell and atoms, written as Quantum ESPRESSO input:
```
&SYSTEM
  ibrav = 0, nat = 4, ntyp = 2
/
ATOMIC_SPECIES
Zn 65.41 Zn.upf
Mg 24.30 Mg.upf
ATOMIC_POSITIONS crystal
Zn 0.0000 0.0000 0.5000
Zn 0.7436 0.4873 0.7300
Zn 0.2564 0.5127 0.2700
Mg 0.5000 0.0000 0.0000
CELL_PARAMETERS angstrom
2.8890 0.0000 0.0000
-1.4445 4.4440 0.0189
0.0000 -1.0322 4.9267
```

Properties
Uncorrected energy: -1.613 eV per atom
Total moment: 0.0 μB/f.u.
Crystal system: monoclinic


Copy entry 6 word for word.
The following is a DFT calculation (PBEsol) of a relaxed KSbBr2 crystal. Values from VASP.

Cell and atoms, written as Quantum ESPRESSO input:
```
&SYSTEM
  ibrav = 0, nat = 4, ntyp = 3
/
ATOMIC_SPECIES
Br 79.90 Br.upf
K 39.10 K.upf
Sb 121.76 Sb.upf
ATOMIC_POSITIONS crystal
Br 0.0413 0.0000 0.2525
Br 0.9587 0.0000 0.7475
K 0.5000 0.5000 0.0000
Sb 0.0000 0.5000 0.5000
CELL_PARAMETERS angstrom
-1.0192 1.4257 -3.2671
-4.3709 0.2719 1.4822
1.4015 6.4119 2.9565
```

Properties
ΔE_f (raw): -0.717 eV/atom
Total moment: 0.0 μB/f.u.
Crystal system: monoclinic